VASP calculation (PBE-GGA) on a geometry-optimized Ni2AuS structure. Values from VASP.

Summary:
Density   10.3 g cm⁻³
Formation energy from raw total energies   -0.02 eV per atom
V   13.9 A^3/atom

Quantum ESPRESSO input file:
```
&SYSTEM
  ibrav = 0, nat = 12, ntyp = 3
/
ATOMIC_SPECIES
Ni 58.69 Ni.upf
Au 196.97 Au.upf
S 32.06 S.upf
ATOMIC_POSITIONS angstrom
Ni 0.000 0.000 0.000
Ni 0.000 0.000 4.142
Ni 0.000 1.751 13.987
Ni 0.000 1.751 18.129
Ni 1.517 0.876 6.993
Ni 1.517 0.876 11.136
Au 0.000 0.000 16.074
Au 0.000 1.751 9.080
Au 1.517 0.876 2.087
S 0.000 0.000 12.555
S 0.000 1.751 5.562
S 1.517 0.876 19.548
CELL_PARAMETERS angstrom
3.033 0.000 0.000
-1.517 2.627 0.000
0.000 0.000 20.980
```